# Dy12Hg3N5

An optimized crystal structure of Dy12Hg3N5 (PBE, the Alexandria database).

Its crystal system is cubic. The size of the total moment is 0.00 μB/f.u. For the raw formation energy, the calculation gives -0.840 eV per atom.

The space group is Ia-3d (No. 230) and the conventional cell measures 15.552, 15.552 and 15.552 Å, with angles of 90.00, 90.00 and 90.00 degrees. The asymmetric unit holds Dy at (0.037, 0.050, 0.648), Hg at (0.000, 0.250, 0.125), N at (0.000, 0.000, 0.000) and N at (0.000, 0.250, 0.375).